First-principles (PBE) data for a relaxed structure of HgAs2Au, as listed in Alexandria via LeMat-Bulk.

Cell lengths 4.1234, 4.1234, 4.8017 Å; angles 90.00, 90.00, 90.00 degrees
Last column: nearest neighbours and their distance in Å.
Positions (direct):
Hg1 0.0000 0.0000 0.0000  4 Au 2.92, 8 As 3.16
As1 0.0000 0.5000 0.5000  4 As 2.92, 4 Hg 3.16, 4 Au 3.16
As2 0.5000 0.0000 0.5000  4 As 2.92, 4 Hg 3.16, 4 Au 3.16
Au1 0.5000 0.5000 0.0000  4 Hg 2.92, 8 As 3.16

Results
volume: 81.6 Å³/cell
theoretical density: 11.13 g cm⁻³
distance to the lowest polymorph of the same formula: 345.2 meV per atom
E_form: 0.35 eV per atom